Version a
VASP calculation (PBE) on an optimized crystal structure of Tb3Pm6Nd.

CIF file:
```
data_Tb3Pm6Nd
_cell_length_a 6.366
_cell_length_b 11.112
_cell_length_c 11.112
_cell_angle_alpha 120.47
_cell_angle_beta 90.00
_cell_angle_gamma 90.00
_symmetry_space_group_name_H-M 'P 1'
_symmetry_Int_Tables_number 1
loop_
_symmetry_equiv_pos_as_xyz
'x,y,z'
loop_
_atom_site_label
_atom_site_type_symbol
_atom_site_fract_x
_atom_site_fract_y
_atom_site_fract_z
Tb1 Tb 0.462 0.942 0.710
Tb2 Tb 0.962 0.710 0.942
Tb3 Tb 0.086 0.384 0.616
Tb4 Tb 0.586 0.616 0.384
Tb5 Tb 0.962 0.058 0.290
Tb6 Tb 0.462 0.290 0.058
Pm1 Pm 0.050 0.709 0.628
Pm2 Pm 0.550 0.628 0.709
Pm3 Pm 0.374 0.527 0.944
Pm4 Pm 0.874 0.944 0.527
Pm5 Pm 0.371 0.963 0.037
Pm6 Pm 0.646 0.280 0.720
Pm7 Pm 0.146 0.720 0.280
Pm8 Pm 0.871 0.037 0.963
Pm9 Pm 0.374 0.056 0.473
Pm10 Pm 0.874 0.473 0.056
Pm11 Pm 0.050 0.372 0.291
Pm12 Pm 0.550 0.291 0.372
Nd1 Nd 0.110 0.194 0.806
Nd2 Nd 0.610 0.806 0.194
```



Version b
VASP calculation (PBE) on an optimized crystal structure of Tb3Pm6Nd.

CIF file:
```
data_Tb3Pm6Nd
_cell_length_a 6.491
_cell_length_b 11.781
_cell_length_c 11.781
_cell_angle_alpha 130.84
_cell_angle_beta 90.00
_cell_angle_gamma 90.00
_symmetry_space_group_name_H-M 'P 1'
_symmetry_Int_Tables_number 1
loop_
_symmetry_equiv_pos_as_xyz
'x,y,z'
loop_
_atom_site_label
_atom_site_type_symbol
_atom_site_fract_x
_atom_site_fract_y
_atom_site_fract_z
Tb1 Tb 0.484 0.960 0.704
Tb2 Tb 0.984 0.704 0.960
Tb3 Tb 0.097 0.419 0.581
Tb4 Tb 0.597 0.581 0.419
Tb5 Tb 0.984 0.040 0.296
Tb6 Tb 0.484 0.296 0.040
Pm1 Pm 0.076 0.739 0.620
Pm2 Pm 0.576 0.620 0.739
Pm3 Pm 0.329 0.456 0.892
Pm4 Pm 0.829 0.892 0.456
Pm5 Pm 0.296 0.986 0.014
Pm6 Pm 0.803 0.301 0.699
Pm7 Pm 0.303 0.699 0.301
Pm8 Pm 0.796 0.014 0.986
Pm9 Pm 0.329 0.108 0.544
Pm10 Pm 0.829 0.544 0.108
Pm11 Pm 0.076 0.380 0.261
Pm12 Pm 0.576 0.261 0.380
Nd1 Nd 0.009 0.157 0.843
Nd2 Nd 0.509 0.843 0.157
```



What should be chosen as the least stable of them? Choose version a.



Version a
VASP calculation (PBE) on an optimized crystal structure of Tb2Pm8Nd3.

CIF file:
```
data_Tb2Pm8Nd3
_cell_length_a 6.231
_cell_length_b 8.895
_cell_length_c 8.895
_cell_angle_alpha 83.76
_cell_angle_beta 72.80
_cell_angle_gamma 72.80
_symmetry_space_group_name_H-M 'P 1'
_symmetry_Int_Tables_number 1
loop_
_symmetry_equiv_pos_as_xyz
'x,y,z'
loop_
_atom_site_label
_atom_site_type_symbol
_atom_site_fract_x
_atom_site_fract_y
_atom_site_fract_z
Tb1 Tb 0.352 0.289 0.289
Tb2 Tb 0.648 0.711 0.711
Pm1 Pm 0.217 0.555 0.555
Pm2 Pm 0.783 0.445 0.445
Pm3 Pm 0.948 0.155 0.155
Pm4 Pm 0.052 0.845 0.845
Pm5 Pm 0.674 0.570 0.083
Pm6 Pm 0.674 0.083 0.570
Pm7 Pm 0.326 0.917 0.430
Pm8 Pm 0.326 0.430 0.917
Nd1 Nd 0.500 0.000 0.000
Nd2 Nd 0.000 0.244 0.756
Nd3 Nd 0.000 0.756 0.244
```



Version b
VASP calculation (PBE) on an optimized crystal structure of Tb2Pm8Nd3.

CIF file:
```
data_Tb2Pm8Nd3
_cell_length_a 5.793
_cell_length_b 7.742
_cell_length_c 10.967
_cell_angle_alpha 110.67
_cell_angle_beta 90.02
_cell_angle_gamma 90.00
_symmetry_space_group_name_H-M 'P 1'
_symmetry_Int_Tables_number 1
loop_
_symmetry_equiv_pos_as_xyz
'x,y,z'
loop_
_atom_site_label
_atom_site_type_symbol
_atom_site_fract_x
_atom_site_fract_y
_atom_site_fract_z
Tb1 Tb 0.499 0.242 0.483
Tb2 Tb 0.501 0.758 0.517
Pm1 Pm 0.001 0.674 0.347
Pm2 Pm 0.999 0.326 0.653
Pm3 Pm 0.000 0.135 0.270
Pm4 Pm 0.000 0.865 0.730
Pm5 Pm 0.500 0.601 0.785
Pm6 Pm 0.500 0.184 0.785
Pm7 Pm 0.500 0.816 0.215
Pm8 Pm 0.500 0.399 0.215
Nd1 Nd 0.500 0.000 0.000
Nd2 Nd 0.000 0.289 0.000
Nd3 Nd 0.000 0.711 0.000
```



What should be chosen as the least stable of them? Choose version b.



Version a
VASP calculation (PBE) on an optimized crystal structure of Tb2Pm2Nd7.

CIF file:
```
data_Tb2Pm2Nd7
_cell_length_a 8.705
_cell_length_b 8.705
_cell_length_c 18.085
_cell_angle_alpha 122.32
_cell_angle_beta 122.32
_cell_angle_gamma 43.07
_symmetry_space_group_name_H-M 'P 1'
_symmetry_Int_Tables_number 1
loop_
_symmetry_equiv_pos_as_xyz
'x,y,z'
loop_
_atom_site_label
_atom_site_type_symbol
_atom_site_fract_x
_atom_site_fract_y
_atom_site_fract_z
Tb1 Tb 0.266 0.099 0.205
Tb2 Tb 0.099 0.266 0.705
Tb3 Tb 0.901 0.734 0.295
Tb4 Tb 0.734 0.901 0.795
Pm1 Pm 0.173 0.007 0.478
Pm2 Pm 0.993 0.827 0.022
Pm3 Pm 0.007 0.173 0.978
Pm4 Pm 0.827 0.993 0.522
Nd1 Nd 0.189 0.357 0.431
Nd2 Nd 0.278 0.446 0.159
Nd3 Nd 0.538 0.369 0.386
Nd4 Nd 0.918 0.082 0.250
Nd5 Nd 0.357 0.189 0.931
Nd6 Nd 0.446 0.278 0.659
Nd7 Nd 0.369 0.538 0.886
Nd8 Nd 0.631 0.462 0.114
Nd9 Nd 0.554 0.722 0.341
Nd10 Nd 0.643 0.811 0.069
Nd11 Nd 0.082 0.918 0.750
Nd12 Nd 0.462 0.631 0.614
Nd13 Nd 0.722 0.554 0.841
Nd14 Nd 0.811 0.643 0.569
```



Version b
VASP calculation (PBE) on an optimized crystal structure of Tb2Pm2Nd7.

CIF file:
```
data_Tb2Pm2Nd7
_cell_length_a 6.157
_cell_length_b 8.208
_cell_length_c 8.208
_cell_angle_alpha 89.96
_cell_angle_beta 105.50
_cell_angle_gamma 105.50
_symmetry_space_group_name_H-M 'P 1'
_symmetry_Int_Tables_number 1
loop_
_symmetry_equiv_pos_as_xyz
'x,y,z'
loop_
_atom_site_label
_atom_site_type_symbol
_atom_site_fract_x
_atom_site_fract_y
_atom_site_fract_z
Tb1 Tb 0.500 0.218 0.782
Tb2 Tb 0.500 0.782 0.218
Pm1 Pm 0.199 0.422 0.422
Pm2 Pm 0.801 0.578 0.578
Nd1 Nd 0.177 0.949 0.411
Nd2 Nd 0.823 0.589 0.051
Nd3 Nd 0.823 0.051 0.589
Nd4 Nd 0.177 0.411 0.949
Nd5 Nd 0.000 0.000 0.000
Nd6 Nd 0.404 0.771 0.771
Nd7 Nd 0.596 0.229 0.229
```



What should be chosen as the least stable of them? Choose version b.



Version a
VASP calculation (PBE) on an optimized crystal structure of Tb6Pm3Nd.

CIF file:
```
data_Tb6Pm3Nd
_cell_length_a 6.360
_cell_length_b 11.004
_cell_length_c 11.004
_cell_angle_alpha 119.83
_cell_angle_beta 90.00
_cell_angle_gamma 90.00
_symmetry_space_group_name_H-M 'P 1'
_symmetry_Int_Tables_number 1
loop_
_symmetry_equiv_pos_as_xyz
'x,y,z'
loop_
_atom_site_label
_atom_site_type_symbol
_atom_site_fract_x
_atom_site_fract_y
_atom_site_fract_z
Tb1 Tb 0.047 0.711 0.622
Tb2 Tb 0.547 0.622 0.711
Tb3 Tb 0.373 0.531 0.949
Tb4 Tb 0.873 0.949 0.531
Tb5 Tb 0.373 0.961 0.039
Tb6 Tb 0.648 0.275 0.725
Tb7 Tb 0.148 0.725 0.275
Tb8 Tb 0.873 0.039 0.961
Tb9 Tb 0.373 0.051 0.469
Tb10 Tb 0.873 0.469 0.051
Tb11 Tb 0.047 0.378 0.289
Tb12 Tb 0.547 0.289 0.378
Pm1 Pm 0.462 0.938 0.710
Pm2 Pm 0.962 0.710 0.938
Pm3 Pm 0.073 0.388 0.612
Pm4 Pm 0.573 0.612 0.388
Pm5 Pm 0.962 0.062 0.290
Pm6 Pm 0.462 0.290 0.062
Nd1 Nd 0.128 0.195 0.805
Nd2 Nd 0.628 0.805 0.195
```



Version b
VASP calculation (PBE) on an optimized crystal structure of Tb6Pm3Nd.

CIF file:
```
data_Tb6Pm3Nd
_cell_length_a 9.960
_cell_length_b 9.960
_cell_length_c 6.949
_cell_angle_alpha 44.23
_cell_angle_beta 44.23
_cell_angle_gamma 60.00
_symmetry_space_group_name_H-M 'P 1'
_symmetry_Int_Tables_number 1
loop_
_symmetry_equiv_pos_as_xyz
'x,y,z'
loop_
_atom_site_label
_atom_site_type_symbol
_atom_site_fract_x
_atom_site_fract_y
_atom_site_fract_z
Tb1 Tb 0.900 0.573 0.299
Tb2 Tb 0.227 0.900 0.299
Tb3 Tb 0.573 0.227 0.299
Tb4 Tb 0.074 0.400 0.800
Tb5 Tb 0.727 0.074 0.800
Tb6 Tb 0.400 0.727 0.800
Pm1 Pm 0.400 0.400 0.801
Pm2 Pm 0.649 0.649 0.054
Pm3 Pm 0.151 0.151 0.548
Nd1 Nd 0.900 0.900 0.300
```



What should be chosen as the least stable of them? Choose version b.